Entry from Alexandria via LeMat-Bulk: a relaxed NiWNO2 crystal (PBE+U).

Values from the calculation:
Calculated total energy (eV/cell): -26.18

abc: 3.6280 3.6280 3.9246
angles: 90.00 90.00 90.00
Sites, in units of the cell vectors:
Ni 0.0000 0.0000 0.0000
W 0.5000 0.5000 0.5000
N 0.0000 0.0000 0.5000
O 0.0000 0.5000 0.0000
O 0.5000 0.0000 0.0000